# 1
{
  "formula": "Y4Sb2O",
  "functional": "PBE",
  "state": "optimized geometry",
  "rho_g_cm3": 5.92,
  "dos_at_fermi_per_ev_cell": 3.18,
  "formation_energy_uncorrected_mev_per_atom": -1456,
  "lattice": [[4.5150, 0.0000, 0.0000], [0.0000, 4.5150, 0.0000], [-2.2575, -2.2575, 8.4663]],
  "species": ["Y", "Sb", "O", "Y", "Y", "Y", "Sb"],
  "fractional_positions": [[0.5000, 0.0000, 0.0000], [0.3625, 0.3625, 0.7250], [0.0000, 0.0000, 0.0000], [0.1784, 0.1784, 0.3569], [0.8216, 0.8216, 0.6431], [0.0000, 0.5000, 0.0000], [0.6375, 0.6375, 0.2750]]
}

---

# 2
{
  "formula": "SmErTe",
  "functional": "PBE",
  "state": "optimized geometry",
  "rho_g_cm3": 7.95,
  "dos_at_fermi_per_ev_cell": 3.08,
  "formation_energy_uncorrected_mev_per_atom": -484,
  "lattice": [[4.0168, 0.0000, 0.0000], [0.0000, 5.1712, 0.0000], [0.0000, -2.5856, 4.4784]],
  "species": ["Er", "Sm", "Te"],
  "fractional_positions": [[0.1097, 0.0000, 0.0000], [0.6003, 0.6667, 0.3333], [0.2900, 0.3333, 0.6667]]
}

---

What did the second record say?
{
  "formula": "SmErTe",
  "functional": "PBE",
  "state": "optimized geometry",
  "rho_g_cm3": 7.95,
  "dos_at_fermi_per_ev_cell": 3.08,
  "formation_energy_uncorrected_mev_per_atom": -484,
  "lattice": [[4.0168, 0.0000, 0.0000], [0.0000, 5.1712, 0.0000], [0.0000, -2.5856, 4.4784]],
  "species": ["Er", "Sm", "Te"],
  "fractional_positions": [[0.1097, 0.0000, 0.0000], [0.6003, 0.6667, 0.3333], [0.2900, 0.3333, 0.6667]]
}